NaInSi | PBE | optimized geometry

Cell lengths 11.9142, 5.9893, 5.9893 Å; angles 95.26, 134.27, 45.73 degrees
With the nearest neighbours (Å) after each atom.
Sites, in units of the cell vectors:
Na 0.2647 0.6853 0.3147  2 In 3.03, 2 Si 3.05
Na 0.7463 0.7296 0.2704  4 Si 2.95-2.97, 4 In 3.12-3.14
Si 0.4326 0.7035 0.9894  1 Si 2.48, 2 In 2.77
Si 0.4326 0.0106 0.2965  1 Si 2.48, 2 In 2.77
In 0.0493 0.4367 0.1873  3 Si 2.77-2.91, 1 Na 3.03, 1 In 3.04
In 0.0493 0.8127 0.5633  3 Si 2.77-2.91, 1 Na 3.03, 1 In 3.04

## Properties
- SG = Cm, No. 8
- V (A^3/atom) = 23.2
- energy relative to the elements, uncorrected (eV/atom) = 0.0359
- N(E_F) (states/eV/cell) = 0.1
- uncorrected energy (eV per atom) = -3.124
- spin magnetization (μB per formula unit) = 0.0